No. 1
The following is a PBE-GGA calculation of a geometry-optimized Be12Ga structure, from the Alexandria database.

Results
Volume in Å³/cell: 114.6
Crystal system: tetragonal
ΔE_f in meV per atom: 158

Unit cell a=4.2654 b=5.6058 c=5.6058 alpha=81.68 beta=67.64 gamma=67.64
Fractional coordinates of all 13 atoms:
Be (0.5000, 0.0000, 0.5000)
Be (0.0000, 0.0000, 0.5000)
Be (0.5000, 0.5000, 0.0000)
Be (0.0000, 0.5000, 0.0000)
Be (0.0000, 0.6498, 0.3502)
Be (0.0000, 0.3502, 0.6498)
Be (0.6498, 0.3502, 0.3502)
Be (0.3502, 0.6498, 0.6498)
Be (0.5000, 0.2289, 0.7711)
Be (0.5000, 0.7711, 0.2289)
Be (0.7289, 0.7711, 0.7711)
Be (0.2711, 0.2289, 0.2289)
Ga (0.0000, 0.0000, 0.0000)

No. 2
The following is a PBE-GGA calculation of a geometry-optimized ScFe8Mo3 structure, from the Alexandria database.

Results
Volume in Å³/cell: 152.3
Crystal system: trigonal
ΔE_f in meV per atom: -31

Unit cell a=4.7375 b=4.7375 c=7.8335 alpha=90.00 beta=90.00 gamma=120.00
Fractional coordinates of all 12 atoms:
Sc (0.0000, 0.0000, 0.5653)
Fe (0.3333, 0.6667, 0.5016)
Fe (0.3333, 0.6667, 0.0024)
Fe (0.5035, 0.0071, 0.7527)
Fe (0.5035, 0.4965, 0.7527)
Fe (0.9929, 0.4965, 0.7527)
Fe (0.1647, 0.3293, 0.2498)
Fe (0.1647, 0.8353, 0.2498)
Fe (0.6707, 0.8353, 0.2498)
Mo (0.6667, 0.3333, 0.4164)
Mo (0.6667, 0.3333, 0.0600)
Mo (0.0000, 0.0000, 0.9471)

No. 3
The following is a PBE-GGA calculation of a geometry-optimized Ti2FeAsH structure, from the Alexandria database.

Results
Electronic total energy in eV/atom: -6.9210
Volume in Å³/cell: 59.5
Crystal system: tetragonal

Unit cell a=4.0009 b=4.0009 c=3.7160 alpha=90.00 beta=90.00 gamma=90.00
Fractional coordinates of all 5 atoms:
H (0.0000, 0.0000, 0.0000)
As (0.5000, 0.5000, 0.5000)
Fe (0.0000, 0.0000, 0.5000)
Ti (0.0000, 0.5000, 0.0000)
Ti (0.5000, 0.0000, 0.0000)

No. 4
The following is a PBE-GGA calculation of a geometry-optimized CeNbP2Os structure, from the Alexandria database.

Results
Volume in Å³/cell: 88.4
Crystal system: tetragonal
ΔE_f in meV per atom: -730

Unit cell a=4.1899 b=4.1899 c=5.8437 alpha=111.01 beta=111.01 gamma=90.00
Fractional coordinates of all 5 atoms:
Ce (0.0000, 0.0000, 0.0000)
Nb (0.7500, 0.2500, 0.5000)
P (0.6243, 0.6243, 0.2486)
P (0.3757, 0.3757, 0.7514)
Os (0.2500, 0.7500, 0.5000)